Entry 1:
DFT (PBE) results for TaInFeOs after structural relaxation.

Unit cell a=4.521 b=4.521 c=4.521 alpha=60.00 beta=60.00 gamma=60.00
Fractional positions:
Fe: 0.750 0.750 0.750
In: 0.000 0.000 0.000
Os: 0.500 0.500 0.500
Ta: 0.250 0.250 0.250

Calculated values
The total DFT energy (no corrections) comes out at -32.792 eV/f.u. Its crystal system is cubic. The space group is No. 216.


Entry 2:
DFT (PBE) results for TaInFeOs after structural relaxation.

Unit cell a=4.448 b=4.448 c=4.448 alpha=60.00 beta=60.00 gamma=60.00
Fractional positions:
Fe: 0.750 0.750 0.750
In: 0.000 0.000 0.000
Os: 0.250 0.250 0.250
Ta: 0.500 0.500 0.500

Calculated values
The total DFT energy (no corrections) comes out at -34.206 eV/f.u. Its crystal system is cubic. The space group is No. 216.


Entry 3:
DFT (PBE) results for InFeTcOs after structural relaxation.

Unit cell a=4.423 b=4.423 c=4.423 alpha=60.00 beta=60.00 gamma=60.00
Fractional positions:
Fe: 0.750 0.750 0.750
In: 0.000 0.000 0.000
Os: 0.250 0.250 0.250
Tc: 0.500 0.500 0.500

Calculated values
The total DFT energy (no corrections) comes out at -30.975 eV/f.u. Its crystal system is cubic. The space group is No. 216.


Entry 4:
DFT (PBE) results for ZnInFeOs after structural relaxation.

Unit cell a=4.394 b=4.394 c=4.394 alpha=60.00 beta=60.00 gamma=60.00
Fractional positions:
Fe: 0.750 0.750 0.750
In: 0.000 0.000 0.000
Os: 0.500 0.500 0.500
Zn: 0.250 0.250 0.250

Calculated values
The total DFT energy (no corrections) comes out at -22.187 eV/f.u. Its crystal system is cubic. The space group is No. 216.


Entry 5:
DFT (PBE) results for ZrInFeOs after structural relaxation.

Unit cell a=4.520 b=4.520 c=4.520 alpha=60.00 beta=60.00 gamma=60.00
Fractional positions:
Fe: 0.750 0.750 0.750
In: 0.000 0.000 0.000
Os: 0.250 0.250 0.250
Zr: 0.500 0.500 0.500

Calculated values
The total DFT energy (no corrections) comes out at -30.894 eV/f.u. Its crystal system is cubic. The space group is No. 216.


Entry 6:
DFT (PBE) results for ZrInFeOs after structural relaxation.

Unit cell a=4.616 b=4.616 c=4.616 alpha=60.00 beta=60.00 gamma=60.00
Fractional positions:
Fe: 0.750 0.750 0.750
In: 0.000 0.000 0.000
Os: 0.500 0.500 0.500
Zr: 0.250 0.250 0.250

Calculated values
The total DFT energy (no corrections) comes out at -30.052 eV/f.u. Its crystal system is cubic. The space group is No. 216.


Distance to the lowest polymorph of the same formula (eV/atom)
0.354; 0.000; 0.000; 0.000; 0.000; 0.211
Magnetization (μB/f.u.)
3.65; 0.01; 2.97; 2.98; 0.94; 3.90